[1]
Computed, not measured: a relaxed CuPtAu2 crystal at the PBEsol level of DFT.

Summary:
The energy above the lowest structure with this stoichiometry is 49 meV/atom. The magnetization comes out at 0.0 μB/f.u. Its total energy is -4.782 eV/atom. Its formation enthalpy at 0 K is 4 meV per atom. Its space group is I4/mmm.

Cell: 3.983 3.983 4.755 Å, 114.75 114.75 90.00°
Element x y z (fractional)
1 Au 0.250 0.750 0.500
2 Cu 0.500 0.500 0.000
3 Pt 0.000 0.000 0.000
4 Au 0.750 0.250 0.500

***

[2]
Computed, not measured: a relaxed Cr2FePt crystal at the PBEsol level of DFT.

Summary:
The magnetization comes out at 3.0 μB/f.u. Its total energy is -9.024 eV/atom. Its formation enthalpy at 0 K is 79 meV per atom. Its space group is P4mm.

Cell: 2.905 2.905 5.786 Å, 90.00 90.00 90.00°
Element x y z (fractional)
1 Pt 0.500 0.500 0.747
2 Fe 0.000 0.000 0.468
3 Cr 0.000 0.000 0.036
4 Cr 0.500 0.500 0.249

***

[3]
Computed, not measured: a relaxed LiZnCr3 crystal at the PBEsol level of DFT.

Summary:
The magnetization comes out at 0.6 μB/f.u. Its total energy is -5.402 eV/atom. Its formation enthalpy at 0 K is 1453 meV per atom. Its space group is Pm-3m.

Cell: 3.902 3.902 3.902 Å, 90.00 90.00 90.00°
Element x y z (fractional)
1 Cr 0.000 0.500 0.000
2 Cr 0.000 0.000 0.500
3 Cr 0.500 0.000 0.000
4 Zn 0.500 0.500 0.500
5 Li 0.000 0.000 0.000

***

[4]
Computed, not measured: a relaxed Ba3AgSe crystal at the PBEsol level of DFT.

Summary:
The magnetization comes out at 0.0 μB/f.u. Its total energy is -2.971 eV/atom. Its space group is Pm-3m. The energy relative to the elements, uncorrected comes out at -1.2 eV per formula unit.

Cell: 6.149 6.149 6.149 Å, 90.00 90.00 90.00°
Element x y z (fractional)
1 Se 0.500 0.500 0.500
2 Ba 0.500 0.000 0.000
3 Ba 0.000 0.500 0.000
4 Ag 0.000 0.000 0.000
5 Ba 0.000 0.000 0.500

***

Please write out number 4 again, unchanged.
Computed, not measured: a relaxed Ba3AgSe crystal at the PBEsol level of DFT.

Summary:
The magnetization comes out at 0.0 μB/f.u. Its total energy is -2.971 eV/atom. Its space group is Pm-3m. The energy relative to the elements, uncorrected comes out at -1.2 eV per formula unit.

Cell: 6.149 6.149 6.149 Å, 90.00 90.00 90.00°
Element x y z (fractional)
1 Se 0.500 0.500 0.500
2 Ba 0.500 0.000 0.000
3 Ba 0.000 0.500 0.000
4 Ag 0.000 0.000 0.000
5 Ba 0.000 0.000 0.500

***

- Look up the magnetization of the fourth one.
  0.0 μB/f.u.

***

- What is the magnetization in the fourth record?
  0.0 μB/f.u.